## MgSc2ZnO (GGA-PBE)

Data for a geometry-optimized MgSc2ZnO structure.

Cell: 4.3807 4.3807 4.2644 Å, 90.00 90.00 90.00°
Space group P4/mmm (No. 123)
Symmetry-distinct sites (fractional):
Mg1 0.0000 0.0000 0.0000 [1 per cell]
Sc1 0.0000 0.5000 0.5000 [2 per cell]
Zn1 0.5000 0.5000 0.0000 [1 per cell]
O1 0.0000 0.0000 0.5000 [1 per cell]

- M_tot: 0.000 μB per formula unit


## MgZr2ScO (GGA-PBE)

Data for a geometry-optimized MgZr2ScO structure.

Cell: 4.5570 4.5570 4.4095 Å, 90.00 90.00 90.00°
Space group P4/mmm (No. 123)
Symmetry-distinct sites (fractional):
Mg1 0.0000 0.0000 0.0000 [1 per cell]
Zr1 0.0000 0.5000 0.5000 [2 per cell]
Sc1 0.5000 0.5000 0.0000 [1 per cell]
O1 0.5000 0.5000 0.5000 [1 per cell]

- M_tot: 0.000 μB per formula unit


## MgZrScO2 (GGA-PBE)

Data for a geometry-optimized MgZrScO2 structure.

Cell: 4.0259 4.0259 5.1567 Å, 90.00 90.00 90.00°
Space group P4/mmm (No. 123)
Symmetry-distinct sites (fractional):
Mg1 0.0000 0.0000 0.0000 [1 per cell]
Zr1 0.0000 0.0000 0.5000 [1 per cell]
Sc1 0.5000 0.5000 0.5000 [1 per cell]
O1 0.0000 0.5000 0.0000 [2 per cell]

- M_tot: 0.692 μB per formula unit


## MgZrSc2O (GGA-PBE)

Data for a geometry-optimized MgZrSc2O structure.

Cell: 4.4560 4.4560 4.5804 Å, 90.00 90.00 90.00°
Space group P4/mmm (No. 123)
Symmetry-distinct sites (fractional):
Mg1 0.0000 0.0000 0.0000 [1 per cell]
Zr1 0.5000 0.5000 0.0000 [1 per cell]
Sc1 0.0000 0.5000 0.5000 [2 per cell]
O1 0.5000 0.5000 0.5000 [1 per cell]

- M_tot: 0.000 μB per formula unit


## MgSeO2 (GGA-PBE)

Data for a geometry-optimized MgSeO2 structure.

Cell: 5.7342 5.7342 5.7342 Å, 90.00 90.00 90.00°
Space group Fm-3m (No. 225)
Symmetry-distinct sites (fractional):
Mg1 0.0000 0.0000 0.0000 [4 per cell]
Se1 0.0000 0.0000 0.5000 [4 per cell]
O1 0.2500 0.2500 0.2500 [8 per cell]

- M_tot: 0.000 μB per formula unit


## MgSeO2 (GGA-PBE)

Data for a geometry-optimized MgSeO2 structure.

Cell: 4.3350 4.3350 12.0594 Å, 90.00 90.00 90.00°
Space group I-42d (No. 122)
Symmetry-distinct sites (fractional):
Mg1 0.0000 0.0000 0.0000 [4 per cell]
Se1 0.0000 0.0000 0.5000 [4 per cell]
O1 0.2397 0.2500 0.1250 [8 per cell]

- M_tot: 0.000 μB per formula unit


## MgSeO (GGA-PBE)

Data for a geometry-optimized MgSeO structure.

Cell: 3.7694 3.9732 7.4947 Å, 81.66 89.79 89.45°
Space group P1 (No. 1)
Symmetry-distinct sites (fractional):
Mg1 0.0000 0.0000 0.0000 [1 per cell]
Mg2 0.4990 0.4807 0.0705 [1 per cell]
Se1 0.0372 0.0272 0.5843 [1 per cell]
Se2 0.4832 0.4374 0.4876 [1 per cell]
O1 0.4997 0.9747 0.0926 [1 per cell]
O2 0.9994 0.5057 0.9777 [1 per cell]

- M_tot: 0.000 μB per formula unit


## MgSe3O (GGA-PBE)

Data for a geometry-optimized MgSe3O structure.

Cell: 4.5326 4.5326 4.5326 Å, 90.00 90.00 90.00°
Space group Pm-3m (No. 221)
Symmetry-distinct sites (fractional):
Mg1 0.0000 0.0000 0.0000 [1 per cell]
Se1 0.0000 0.5000 0.5000 [3 per cell]
O1 0.5000 0.5000 0.5000 [1 per cell]

- M_tot: 0.000 μB per formula unit


So what do the calculations give for calculated total energy? Going down the list: -5.343, -7.097, -5.376, -6.723, -4.120, -4.609, -4.841, -3.336 eV per atom.
So what do the calculations give for volume? Going down the list: 81.8, 91.6, 83.6, 90.9, 188.5, 226.6, 111.1, 93.1 Å³/cell.